(1)
Here is a relaxed structure of BSb2Pd8 from the Alexandria database. Energies are from PBE-GGA.

POSCAR file:
```
BSb2Pd8
1.0
4.704 -0.729 -0.650
-1.609 4.943 -1.535
0.786 -0.268 7.851
B Sb Pd
1 2 8
direct
0.500 0.000 0.000
0.865 0.378 0.668
0.135 0.622 0.332
0.528 0.420 0.154
0.700 0.034 0.255
0.074 0.803 0.060
0.926 0.197 0.940
0.300 0.966 0.745
0.719 0.791 0.537
0.472 0.580 0.846
0.281 0.209 0.463
```

## Properties
Offset from the most stable computed form = 0.000 eV/atom
Raw formation energy = -0.351 eV per atom
Space group = P-1
Total energy = -0.2015 hartree per atom
Magnetic moment = 0.000 μB/f.u.



(2)
Here is a relaxed structure of BSb3Pd from the Alexandria database. Energies are from PBE-GGA.

POSCAR file:
```
BSb3Pd
1.0
5.222 0.000 0.000
0.000 5.222 0.000
0.000 0.000 5.222
Sb B Pd
3 1 1
direct
0.500 0.000 0.000
0.000 0.000 0.500
0.000 0.500 0.000
0.500 0.500 0.500
0.000 0.000 0.000
```

## Properties
Offset from the most stable computed form = 0.560 eV/atom
Raw formation energy = 1.248 eV per atom
Space group = Pm-3m
Total energy = -0.1323 hartree per atom
Magnetic moment = 0.000 μB/f.u.



(3)
Here is a relaxed structure of B2SbPd6 from the Alexandria database. Energies are from PBE-GGA.

POSCAR file:
```
B2SbPd6
1.0
-1.416 -2.035 -2.467
-1.317 -5.644 2.931
-6.686 0.359 1.063
Pd B Sb
6 2 1
direct
0.742 0.643 0.873
0.997 0.832 0.174
0.258 0.357 0.127
0.685 0.174 0.456
0.315 0.826 0.544
0.003 0.168 0.826
0.844 0.170 0.142
0.156 0.830 0.858
0.000 0.500 0.500
```

## Properties
Raw formation energy = -0.172 eV per atom
Space group = C2/m
Total energy = -0.2049 hartree per atom
Magnetic moment = 0.000 μB/f.u.



(4)
Here is a relaxed structure of B2Sb2Pd from the Alexandria database. Energies are from PBE-GGA.

POSCAR file:
```
B2Sb2Pd
1.0
-3.860 -4.079 -4.842
5.929 -0.341 -4.439
1.087 -3.029 1.685
B Pd Sb
4 2 4
direct
0.076 0.576 0.500
0.424 0.076 0.500
0.924 0.424 0.500
0.576 0.924 0.500
0.000 0.000 0.000
0.500 0.500 0.000
0.795 0.295 0.000
0.205 0.705 0.000
0.705 0.795 0.000
0.295 0.205 0.000
```

## Properties
Offset from the most stable computed form = 0.000 eV/atom
Raw formation energy = 0.559 eV per atom
Space group = P4/mbm
Total energy = -0.1764 hartree per atom
Magnetic moment = 0.000 μB/f.u.



(5)
Here is a relaxed structure of B2Sb2Pd from the Alexandria database. Energies are from PBE-GGA.

POSCAR file:
```
B2Sb2Pd
1.0
3.103 0.000 0.000
0.000 3.103 0.000
1.552 1.552 8.126
Sb B Pd
2 2 1
direct
0.620 0.620 0.760
0.380 0.380 0.240
0.250 0.750 0.500
0.750 0.250 0.500
0.000 0.000 0.000
```

## Properties
Offset from the most stable computed form = 0.194 eV/atom
Raw formation energy = 0.753 eV per atom
Space group = I4/mmm
Total energy = -0.1693 hartree per atom
Magnetic moment = 0.000 μB/f.u.



(6)
Here is a relaxed structure of BSb3Pd from the Alexandria database. Energies are from PBE-GGA.

POSCAR file:
```
BSb3Pd
1.0
4.740 0.000 0.000
0.000 4.740 0.000
0.000 0.000 4.740
Sb Pd B
3 1 1
direct
0.000 0.000 0.500
0.500 0.000 0.000
0.000 0.500 0.000
0.500 0.500 0.500
0.000 0.000 0.000
```

## Properties
Offset from the most stable computed form = 0.000 eV/atom
Raw formation energy = 0.688 eV per atom
Space group = Pm-3m
Total energy = -0.1529 hartree per atom
Magnetic moment = 0.000 μB/f.u.



(7)
Here is a relaxed structure of BSb2TePd from the Alexandria database. Energies are from PBE-GGA.

POSCAR file:
```
BSb2TePd
1.0
-3.578 -3.345 1.604
2.976 -3.919 -1.533
2.350 -0.146 4.936
Pd B Sb Te
1 1 2 1
direct
0.000 0.000 0.000
0.500 0.500 0.500
0.500 0.000 0.000
0.000 0.500 0.000
0.000 0.000 0.500
```

## Properties
Offset from the most stable computed form = 0.488 eV/atom
Raw formation energy = 1.210 eV per atom
Space group = P4/mmm
Total energy = -0.1265 hartree per atom
Magnetic moment = 0.000 μB/f.u.



(8)
Here is a relaxed structure of BSb2TePd from the Alexandria database. Energies are from PBE-GGA.

POSCAR file:
```
BSb2TePd
1.0
4.753 0.000 0.000
0.000 4.753 0.000
0.000 0.000 4.785
Te Sb B Pd
1 2 1 1
direct
0.000 0.000 0.500
0.000 0.500 0.000
0.500 0.000 0.000
0.000 0.000 0.000
0.500 0.500 0.500
```

## Properties
Offset from the most stable computed form = 0.000 eV/atom
Raw formation energy = 0.722 eV per atom
Space group = P4/mmm
Total energy = -0.1444 hartree per atom
Magnetic moment = 0.000 μB/f.u.